Compound: LiHf2Ti
Source: the Alexandria database
Functional: GGA-PBE
Structure: relaxed

Calculated values
SG: P4/mmm, No. 123
DOS(E_F) in states/eV/cell: 3.94
E in eV per atom: -7.28

Geometry as extended XYZ:
```
4
Lattice="3.0898 0.0000 0.0000 0.0000 3.0898 0.0000 0.0000 0.0000 8.3179" Properties=species:S:1:pos:R:3 pbc="T T T"
Hf 0.0000 0.0000 6.1295
Hf 0.0000 0.0000 2.1884
Li 1.5449 1.5449 0.0000
Ti 1.5449 1.5449 4.1589
```